<a>
Computed, not measured: a relaxed structure of YNi2Ru at the GGA-PBE level of DFT.

Cell: 4.155 4.155 5.192 Å, 66.42 66.42 60.02°
Site moments in Bohr magnetons follow the coordinates.
Fractional positions:
Ni 0.552 0.552 0.343  0.17
Ni 0.948 0.948 0.157  0.17
Ru 0.250 0.250 0.250  0.39
Y 0.750 0.750 0.750  -0.04

Results
* space-group type: No. 166
* density: 7.4 g/cm³


<b>
Computed, not measured: a relaxed structure of YNi2Ru at the GGA-PBE level of DFT.

Cell: 4.034 3.751 4.035 Å, 90.00 90.00 90.00°
Site moments in Bohr magnetons follow the coordinates.
Fractional positions:
Ni 0.000 0.126 0.874  0.28
Ni 0.500 0.126 0.375  0.28
Y 0.500 0.627 0.875  -0.04
Ru 0.000 0.620 0.375  0.31

Results
* space-group type: No. 99
* density: 8.4 g/cm³


Relative energies in meV per atom: <a> 0; <b> 147


<a>
Computed, not measured: a relaxed structure of Zn3NiRu at the GGA-PBE level of DFT.

Cell: 4.701 4.701 4.701 Å, 90.00 90.00 90.00°
Site moments in Bohr magnetons follow the coordinates.
Fractional positions:
Zn 0.000 0.000 0.500  0.00
Zn 0.000 0.500 0.000  0.01
Zn 0.500 0.000 0.000  0.01
Ni 0.500 0.500 0.500  0.71
Ru 0.000 0.000 0.000  0.07

Results
* space-group type: No. 221
* density: 5.7 g/cm³


<b>
Computed, not measured: a relaxed structure of Zn3NiRu at the GGA-PBE level of DFT.

Cell: 4.376 4.376 4.376 Å, 90.00 90.00 90.00°
Site moments in Bohr magnetons follow the coordinates.
Fractional positions:
Ni 0.000 0.000 0.000  -0.06
Zn 0.500 0.000 0.000  -0.01
Zn 0.000 0.000 0.500  -0.01
Zn 0.000 0.500 0.000  -0.01
Ru 0.500 0.500 0.500  1.37

Results
* space-group type: No. 221
* density: 7.1 g/cm³


Relative energies in meV per atom: <a> 272; <b> 0


<a>
Computed, not measured: a relaxed structure of ZnNiRu3 at the GGA-PBE level of DFT.

Cell: 4.475 4.475 4.475 Å, 90.00 90.00 90.00°
Site moments in Bohr magnetons follow the coordinates.
Fractional positions:
Ru 0.000 0.000 0.500  1.27
Ru 0.000 0.500 0.000  1.13
Ru 0.500 0.000 0.000  0.99
Zn 0.000 0.000 0.000  0.02
Ni 0.500 0.500 0.500  0.98

Results
* space-group type: No. 221
* density: 7.9 g/cm³


<b>
Computed, not measured: a relaxed structure of ZnNiRu3 at the GGA-PBE level of DFT.

Cell: 4.467 4.467 4.467 Å, 90.00 90.00 90.00°
Site moments in Bohr magnetons follow the coordinates.
Fractional positions:
Ru 0.500 0.000 0.000  1.22
Ru 0.000 0.000 0.500  2.04
Ru 0.000 0.500 0.000  1.58
Ni 0.000 0.000 0.000  0.85
Zn 0.500 0.500 0.500  -0.02

Results
* space-group type: No. 221
* density: 8.0 g/cm³


Relative energies in meV per atom: <a> 416; <b> 0


<a>
Computed, not measured: a relaxed structure of ZrNi2Ru2 at the GGA-PBE level of DFT.

Cell: 7.193 7.193 2.792 Å, 90.00 90.00 90.00°
Fractional positions:
Ru 0.375 0.875 0.000
Ru 0.625 0.125 0.000
Ru 0.125 0.375 0.000
Ru 0.875 0.625 0.000
Ni 0.328 0.172 0.500
Ni 0.828 0.328 0.500
Ni 0.672 0.828 0.500
Ni 0.172 0.672 0.500
Zr 0.500 0.500 0.000
Zr 0.000 0.000 0.000

Results
* space-group type: No. 127
* density: 9.4 g/cm³


<b>
Computed, not measured: a relaxed structure of ZrNi2Ru2 at the GGA-PBE level of DFT.

Cell: 3.872 3.872 5.877 Å, 70.77 70.77 90.00°
Fractional positions:
Ni 0.250 0.750 0.500
Ni 0.750 0.250 0.500
Ru 0.391 0.391 0.217
Ru 0.609 0.609 0.783
Zr 0.000 0.000 0.000

Results
* space-group type: No. 139
* density: 8.7 g/cm³


<c>
Computed, not measured: a relaxed structure of ZrNi2Ru2 at the GGA-PBE level of DFT.

Cell: 6.820 6.820 3.085 Å, 90.00 90.00 90.00°
Fractional positions:
Ni 0.125 0.375 0.000
Ni 0.625 0.125 0.000
Ni 0.375 0.875 0.000
Ni 0.875 0.625 0.000
Ru 0.167 0.667 0.500
Ru 0.833 0.333 0.500
Ru 0.667 0.833 0.500
Ru 0.333 0.167 0.500
Zr 0.500 0.500 0.000
Zr 0.000 0.000 0.000

Results
* space-group type: No. 127
* density: 9.5 g/cm³


Relative energies in meV per atom: <a> 28; <b> 70; <c> 0


<a>
Computed, not measured: a relaxed structure of Zr2NiRu at the GGA-PBE level of DFT.

Cell: 7.781 7.781 7.781 Å, 24.73 24.73 24.73°
Fractional positions:
Ru 0.750 0.750 0.750
Zr 0.997 0.997 0.997
Zr 0.503 0.503 0.503
Ni 0.250 0.250 0.250

Results
* space-group type: No. 166
* density: 7.8 g/cm³


<b>
Computed, not measured: a relaxed structure of Zr2NiRu at the GGA-PBE level of DFT.

Cell: 7.097 7.097 5.785 Å, 52.16 52.16 90.00°
Fractional positions:
Ni 0.250 0.750 0.500
Ni 0.500 0.500 0.000
Zr 0.128 0.625 0.250
Zr 0.875 0.872 0.750
Zr 0.375 0.378 0.750
Zr 0.622 0.125 0.250
Ru 0.000 0.000 0.000
Ru 0.750 0.250 0.500

Results
* space-group type: No. 122
* density: 7.8 g/cm³


<c>
Computed, not measured: a relaxed structure of Zr2NiRu at the GGA-PBE level of DFT.

Cell: 3.432 3.432 6.020 Å, 90.00 90.00 90.00°
Fractional positions:
Ni 0.000 0.000 0.483
Zr 0.500 0.500 0.306
Zr 0.000 0.000 0.956
Ru 0.500 0.500 0.756

Results
* space-group type: No. 99
* density: 8.0 g/cm³


Relative energies in meV per atom: <a> 32; <b> 183; <c> 0


<a>
Computed, not measured: a relaxed structure of Zr2NiRu at the GGA-PBE level of DFT.

Cell: 4.606 4.606 4.606 Å, 60.00 60.00 60.00°
Fractional positions:
Zr 0.250 0.250 0.250
Zr 0.750 0.750 0.750
Ni 0.000 0.000 0.000
Ru 0.500 0.500 0.500

Results
* space-group type: No. 225
* density: 8.2 g/cm³


<b>
Computed, not measured: a relaxed structure of Zr2NiRu at the GGA-PBE level of DFT.

Cell: 3.256 3.250 7.261 Å, 63.37 90.00 90.00°
Fractional positions:
Ni 0.500 0.250 0.250
Ru 0.500 0.750 0.750
Zr 0.000 0.997 0.004
Zr 0.000 0.503 0.496

Results
* space-group type: No. 123
* density: 8.3 g/cm³


Relative energies in meV per atom: <a> 17; <b> 0


<a>
Computed, not measured: a relaxed structure of Zr2NiRu at the GGA-PBE level of DFT.

Cell: 4.551 4.551 4.551 Å, 60.00 60.00 60.00°
Fractional positions:
Zr 0.000 0.000 0.000
Zr 0.250 0.250 0.250
Ni 0.500 0.500 0.500
Ru 0.750 0.750 0.750

Results
* space-group type: No. 216
* density: 8.5 g/cm³


<b>
Computed, not measured: a relaxed structure of Zr2NiRu at the GGA-PBE level of DFT.

Cell: 5.457 5.457 5.457 Å, 143.47 133.36 60.65°
Fractional positions:
Ni 0.500 0.500 0.000
Ru 0.758 0.258 0.500
Zr 0.990 0.990 0.000
Zr 0.252 0.752 0.500

Results
* space-group type: No. 44
* density: 8.2 g/cm³


Relative energies in meV per atom: <a> 152; <b> 0


<a>
Computed, not measured: a relaxed structure of Zr4NiRu at the GGA-PBE level of DFT.

Cell: 5.362 5.362 5.362 Å, 105.75 105.75 117.21°
Fractional positions:
Zr 0.581 0.081 0.162
Zr 0.081 0.919 0.500
Zr 0.419 0.581 0.500
Zr 0.919 0.419 0.838
Ni 0.500 0.500 0.000
Ru 0.000 0.000 0.000

Results
* space-group type: No. 97
* density: 7.4 g/cm³


<b>
Computed, not measured: a relaxed structure of Zr4NiRu at the GGA-PBE level of DFT.

Cell: 5.539 5.539 5.539 Å, 60.00 60.00 60.00°
Fractional positions:
Zr 0.374 0.877 0.374
Zr 0.877 0.374 0.374
Zr 0.374 0.374 0.374
Zr 0.374 0.374 0.877
Ni 0.750 0.750 0.750
Ru 0.000 0.000 0.000

Results
* space-group type: No. 216
* density: 7.3 g/cm³


Relative energies in meV per atom: <a> 0; <b> 979


<a>
Computed, not measured: a relaxed structure of ZrNiRu3 at the GGA-PBE level of DFT.

Cell: 4.751 4.751 4.751 Å, 90.00 90.00 90.00°
Site moments in Bohr magnetons follow the coordinates.
Fractional positions:
Zr 0.000 0.000 0.000  -0.16
Ru 0.000 0.000 0.500  1.20
Ru 0.500 0.000 0.000  1.27
Ru 0.000 0.500 0.000  1.25
Ni 0.500 0.500 0.500  0.94

Results
* space-group type: No. 221
* density: 7.0 g/cm³


<b>
Computed, not measured: a relaxed structure of ZrNiRu3 at the GGA-PBE level of DFT.

Cell: 4.440 4.440 4.440 Å, 90.00 90.00 90.00°
Site moments in Bohr magnetons follow the coordinates.
Fractional positions:
Zr 0.500 0.500 0.500  -0.02
Ni 0.000 0.000 0.000  0.96
Ru 0.000 0.000 0.500  1.22
Ru 0.000 0.500 0.000  0.93
Ru 0.500 0.000 0.000  0.60

Results
* space-group type: No. 221
* density: 8.6 g/cm³


Relative energies in meV per atom: <a> 1060; <b> 0


<a>
Computed, not measured: a relaxed structure of ZrNi3Ru at the GGA-PBE level of DFT.

Cell: 4.427 4.427 4.427 Å, 90.00 90.00 90.00°
Site moments in Bohr magnetons follow the coordinates.
Fractional positions:
Ni 0.500 0.000 0.000  0.09
Ni 0.000 0.500 0.000  0.17
Ni 0.000 0.000 0.500  0.34
Zr 0.500 0.500 0.500  -0.03
Ru 0.000 0.000 0.000  0.29

Results
* space-group type: No. 221
* density: 7.1 g/cm³


<b>
Computed, not measured: a relaxed structure of ZrNi3Ru at the GGA-PBE level of DFT.

Cell: 4.468 4.468 4.468 Å, 90.00 90.00 90.00°
Site moments in Bohr magnetons follow the coordinates.
Fractional positions:
Ru 0.500 0.500 0.500  1.84
Ni 0.000 0.500 0.000  0.00
Ni 0.500 0.000 0.000  0.16
Ni 0.000 0.000 0.500  -0.05
Zr 0.000 0.000 0.000  -0.07

Results
* space-group type: No. 221
* density: 6.9 g/cm³


Relative energies in meV per atom: <a> 0; <b> 633


<a>
Computed, not measured: a relaxed structure of Zr2Ni2Ru at the GGA-PBE level of DFT.

Cell: 4.796 4.796 5.047 Å, 61.63 61.63 90.00°
Fractional positions:
Ni 0.642 0.642 0.716
Ni 0.358 0.358 0.284
Zr 0.250 0.750 0.500
Zr 0.750 0.250 0.500
Ru 0.000 0.000 0.000

Results
* space-group type: No. 139
* density: 7.7 g/cm³


<b>
Computed, not measured: a relaxed structure of Zr2Ni2Ru at the GGA-PBE level of DFT.

Cell: 6.844 6.844 3.413 Å, 90.00 90.00 90.00°
Fractional positions:
Ni 0.379 0.879 0.000
Ni 0.121 0.379 0.000
Ni 0.621 0.121 0.000
Ni 0.879 0.621 0.000
Ru 0.500 0.500 0.000
Ru 0.000 0.000 0.000
Zr 0.682 0.818 0.500
Zr 0.182 0.682 0.500
Zr 0.318 0.182 0.500
Zr 0.818 0.318 0.500

Results
* space-group type: No. 127
* density: 8.3 g/cm³


Relative energies in meV per atom: <a> 307; <b> 0


<a>
Computed, not measured: a relaxed structure of NiSb3S at the GGA-PBE level of DFT.

Cell: 4.955 4.955 4.955 Å, 90.00 90.00 90.00°
Fractional positions:
Sb 0.000 0.000 0.500
Sb 0.500 0.000 0.000
Sb 0.000 0.500 0.000
Ni 0.000 0.000 0.000
S 0.500 0.500 0.500

Results
* space-group type: No. 221
* density: 6.2 g/cm³


<b>
Computed, not measured: a relaxed structure of NiSb3S at the GGA-PBE level of DFT.

Cell: 5.124 5.124 5.124 Å, 90.00 90.00 90.00°
Fractional positions:
Sb 0.000 0.000 0.500
Sb 0.500 0.000 0.000
Sb 0.000 0.500 0.000
S 0.000 0.000 0.000
Ni 0.500 0.500 0.500

Results
* space-group type: No. 221
* density: 5.6 g/cm³


Relative energies in meV per atom: <a> 0; <b> 488


<a>
Computed, not measured: a relaxed structure of NiSb2TeS at the GGA-PBE level of DFT.

Cell: 5.160 5.160 5.134 Å, 90.00 90.00 90.00°
Site moments in Bohr magnetons follow the coordinates.
Fractional positions:
S 0.000 0.000 0.000  0.00
Ni 0.500 0.500 0.500  0.45
Te 0.000 0.000 0.500  0.01
Sb 0.500 0.000 0.000  -0.01
Sb 0.000 0.500 0.000  -0.01

Results
* space-group type: No. 123
* density: 5.6 g/cm³


<b>
Computed, not measured: a relaxed structure of NiSb2TeS at the GGA-PBE level of DFT.

Cell: 4.956 4.956 5.018 Å, 90.00 90.00 90.00°
Fractional positions:
Te 0.000 0.000 0.500
Sb 0.500 0.000 0.000
Sb 0.000 0.500 0.000
Ni 0.000 0.000 0.000
S 0.500 0.500 0.500

Results
* space-group type: No. 123
* density: 6.2 g/cm³


Relative energies in meV per atom: <a> 482; <b> 0